! NaCoF3, relaxed, DFT PBE+U; values from VASP
&SYSTEM
  ibrav = 0, nat = 10, ntyp = 3
/
ATOMIC_SPECIES
Co 58.93 Co.upf
Na 22.99 Na.upf
F 19.00 F.upf
ATOMIC_POSITIONS angstrom
Co 0.7582 -2.1686 5.3776
Co -1.7585 -0.8629 6.7670
Na 0.0405 -0.6201 2.7508
Na -1.0420 -2.4102 9.3928
F -2.5414 -2.5737 7.5136
F 1.5402 -0.4581 4.6303
F 0.2351 -1.3634 7.2427
F -1.2350 -1.6679 4.9016
F 0.7878 -2.8391 3.4969
F -1.7876 -0.1931 8.6478
CELL_PARAMETERS angstrom
-1.1604 -3.6475 1.2313
3.8146 -0.7358 1.4951
-2.1791 1.2669 7.9160
! - E_tot: -47.37 eV/cell
! - Crystal system: triclinic
! - Magnetic moment: 6.0 μB/cell